Record 1
Here is an optimized crystal structure of Zr2MnSb from the Alexandria database. Energies are from PBEsol.

The uncorrected formation energy comes out at -0.2347 eV/atom. For the total magnetization, the calculation gives 6.0 μB/cell. The calculation puts the raw total energy at -8.36 eV/atom.

The structure belongs to space group I4/mmm (No. 139); the cell edges are 4.245, 4.245 and 8.528 Å and the angles 90.00°, 90.00° and 90.00°. The inequivalent atoms are Zr at (0.000, 0.500, 0.250), Mn at (0.000, 0.000, 0.000) and Sb at (0.000, 0.000, 0.500).


Record 2
Here is an optimized crystal structure of ZrMn2Sb from the Alexandria database. Energies are from PBEsol.

The uncorrected formation energy comes out at -0.0712 eV/atom. For the total magnetization, the calculation gives 2.9 μB/cell. The calculation puts the raw total energy at -8.36 eV/atom.

The structure belongs to space group P4/mmm (No. 123); the cell edges are 4.181, 4.181 and 3.567 Å and the angles 90.00°, 90.00° and 90.00°. The inequivalent atoms are Zr at (0.000, 0.000, 0.000), Mn at (0.000, 0.500, 0.500) and Sb at (0.500, 0.500, 0.000).


Record 3
Here is an optimized crystal structure of ScMn4 from the Alexandria database. Energies are from PBEsol.

For the total magnetization, the calculation gives 0.0 μB/cell. The offset from the most stable computed form is 0 meV/atom. The calculation puts the raw total energy at -9.09 eV/atom.

The structure belongs to space group I4/mmm (No. 139); the cell edges are 3.810, 3.810 and 9.028 Å and the angles 90.00°, 90.00° and 90.00°. The inequivalent atoms are Sc at (0.000, 0.000, 0.000), Mn at (0.000, 0.000, 0.376) and Mn at (0.000, 0.500, 0.250).


Record 4
Here is an optimized crystal structure of ScMn4 from the Alexandria database. Energies are from PBEsol.

For the total magnetization, the calculation gives 27.4 μB/cell. The offset from the most stable computed form is 1532 meV/atom. The calculation puts the raw total energy at -7.56 eV/atom.

The structure belongs to space group Im-3m (No. 229); the cell edges are 5.709, 5.709 and 5.709 Å and the angles 90.00°, 90.00° and 90.00°. The inequivalent atoms are Sc at (0.000, 0.000, 0.000) and Mn at (0.250, 0.250, 0.250).


Record 5
Here is an optimized crystal structure of Sc2MnSe4 from the Alexandria database. Energies are from PBEsol.

The uncorrected formation energy comes out at -1.2913 eV/atom. For the total magnetization, the calculation gives 40.0 μB/cell. The calculation puts the raw total energy at -6.77 eV/atom.

The structure belongs to space group Fd-3m (No. 227, origin choice 2); the cell edges are 10.968, 10.968 and 10.968 Å and the angles 90.00°, 90.00° and 90.00°. The inequivalent atoms are Sc at (0.000, 0.000, 0.000), Mn at (0.125, 0.125, 0.625) and Se at (0.005, 0.005, 0.245).


Record 6
Here is an optimized crystal structure of Sc3MnSi from the Alexandria database. Energies are from PBEsol.

The uncorrected formation energy comes out at 0.2062 eV/atom. For the total magnetization, the calculation gives 0.4 μB/cell. The offset from the most stable computed form is 0 meV/atom. The calculation puts the raw total energy at -6.86 eV/atom.

The structure belongs to space group Pm-3m (No. 221); the cell edges are 4.654, 4.654 and 4.654 Å and the angles 90.00°, 90.00° and 90.00°. The inequivalent atoms are Sc at (0.000, 0.000, 0.500), Mn at (0.000, 0.000, 0.000) and Si at (0.500, 0.500, 0.500).


Record 7
Here is an optimized crystal structure of Sc2MnSi from the Alexandria database. Energies are from PBEsol.

The uncorrected formation energy comes out at -0.2995 eV/atom. For the total magnetization, the calculation gives 0.5 μB/cell. The calculation puts the raw total energy at -7.48 eV/atom.

The structure belongs to space group P4/mmm (No. 123); the cell edges are 3.266, 3.266 and 5.989 Å and the angles 90.00°, 90.00° and 90.00°. The inequivalent atoms are Sc at (0.000, 0.000, 0.238), Mn at (0.500, 0.500, 0.000) and Si at (0.500, 0.500, 0.500).


Record 8
Here is an optimized crystal structure of Sc2MnSi2 from the Alexandria database. Energies are from PBEsol.

The uncorrected formation energy comes out at -0.6789 eV/atom. For the total magnetization, the calculation gives 3.9 μB/cell. The calculation puts the raw total energy at -7.57 eV/atom.

The structure belongs to space group P4/mbm (No. 127); the cell edges are 6.341, 6.341 and 4.008 Å and the angles 90.00°, 90.00° and 90.00°. The inequivalent atoms are Sc at (0.172, 0.328, 0.000), Mn at (0.000, 0.000, 0.500) and Si at (0.136, 0.636, 0.500).


Record 9
Here is an optimized crystal structure of Sc2MnSi from the Alexandria database. Energies are from PBEsol.

The uncorrected formation energy comes out at -0.2734 eV/atom. For the total magnetization, the calculation gives 5.1 μB/cell. The calculation puts the raw total energy at -7.45 eV/atom.

The structure belongs to space group I4/mmm (No. 139); the cell edges are 4.120, 4.120 and 7.816 Å and the angles 90.00°, 90.00° and 90.00°. The inequivalent atoms are Sc at (0.000, 0.500, 0.250), Mn at (0.000, 0.000, 0.000) and Si at (0.000, 0.000, 0.500).


Record 10
Here is an optimized crystal structure of Sc3MnSi from the Alexandria database. Energies are from PBEsol.

The uncorrected formation energy comes out at 0.3504 eV/atom. For the total magnetization, the calculation gives 3.9 μB/cell. The offset from the most stable computed form is 144 meV/atom. The calculation puts the raw total energy at -6.71 eV/atom.

The structure belongs to space group Pm-3m (No. 221); the cell edges are 4.966, 4.966 and 4.966 Å and the angles 90.00°, 90.00° and 90.00°. The inequivalent atoms are Sc at (0.000, 0.000, 0.500), Mn at (0.500, 0.500, 0.500) and Si at (0.000, 0.000, 0.000).


Record 11
Here is an optimized crystal structure of SrScMn2 from the Alexandria database. Energies are from PBEsol.

For the total magnetization, the calculation gives 0.0 μB/cell. The offset from the most stable computed form is 0 meV/atom. The calculation puts the raw total energy at -6.41 eV/atom.

The structure belongs to space group Pmmm (No. 47); the cell edges are 3.276, 3.795 and 6.585 Å and the angles 90.00°, 90.00° and 90.00°. The inequivalent atoms are Sr at (0.000, 0.000, 0.000), Sc at (0.000, 0.000, 0.500) and Mn at (0.500, 0.500, 0.352).


Record 12
Here is an optimized crystal structure of SrScMn2 from the Alexandria database. Energies are from PBEsol.

For the total magnetization, the calculation gives 6.5 μB/cell. The offset from the most stable computed form is 111 meV/atom. The calculation puts the raw total energy at -6.30 eV/atom.

The structure belongs to space group P4/mmm (No. 123); the cell edges are 5.025, 5.025 and 3.351 Å and the angles 90.00°, 90.00° and 90.00°. The inequivalent atoms are Sr at (0.000, 0.000, 0.000), Sc at (0.500, 0.500, 0.000) and Mn at (0.000, 0.500, 0.500).


Record 13
Here is an optimized crystal structure of Sc2TaMn from the Alexandria database. Energies are from PBEsol.

For the total magnetization, the calculation gives 4.8 μB/cell. The calculation puts the raw total energy at -8.45 eV/atom.

The structure belongs to space group Fm-3m (No. 225); the cell edges are 6.703, 6.703 and 6.703 Å and the angles 90.00°, 90.00° and 90.00°. The inequivalent atoms are Sc at (0.250, 0.250, 0.250), Ta at (0.000, 0.000, 0.000) and Mn at (0.000, 0.000, 0.500).


Record 14
Here is an optimized crystal structure of ScTaMn2 from the Alexandria database. Energies are from PBEsol.

For the total magnetization, the calculation gives 5.8 μB/cell. The calculation puts the raw total energy at -9.41 eV/atom.

The structure belongs to space group I-4m2 (No. 119); the cell edges are 3.633, 3.633 and 9.053 Å and the angles 90.00°, 90.00° and 90.00°. The inequivalent atoms are Sc at (0.000, 0.000, 0.000), Ta at (0.000, 0.500, 0.250), Mn at (0.000, 0.000, 0.500) and Mn at (0.000, 0.500, 0.750).


Record 15
Here is an optimized crystal structure of ScTaMn2 from the Alexandria database. Energies are from PBEsol.

For the total magnetization, the calculation gives 1.2 μB/cell. The calculation puts the raw total energy at -9.32 eV/atom.

The structure belongs to space group C2/m (No. 12); the cell edges are 7.923, 2.961 and 5.256 Å and the angles 90.00°, 101.91° and 90.00°. The inequivalent atoms are Sc at (0.000, 0.000, 0.000), Ta at (0.000, 0.500, 0.500) and Mn at (0.242, 0.000, 0.713).